Computed, not measured: CaYTl2 after structural relaxation at the PBE level of DFT.

CIF file:
```
data_CaYTl2
_symmetry_space_group_name_H-M 'P 1'
_symmetry_Int_Tables_number 1
_cell_length_a 7.3454
_cell_length_b 7.3454
_cell_length_c 7.3454
_cell_angle_alpha 152.04
_cell_angle_beta 129.80
_cell_angle_gamma 58.44
loop_
_symmetry_equiv_pos_as_xyz
'x,y,z'
loop_
_atom_site_label
_atom_site_type_symbol
_atom_site_fract_x
_atom_site_fract_y
_atom_site_fract_z
_atom_site_occupancy
Ca1 Ca 0.0000 0.0000 0.0000 1
Y1 Y 0.5000 0.5000 0.0000 1
Tl1 Tl 0.2537 0.2537 0.0000 1
Tl2 Tl 0.7463 0.7463 0.0000 1
```

## Properties
formation energy from the elements: 0.19 eV/atom
total magnetic moment: 0.00 Bohr magnetons per cell

Computed, not measured: Pr3CuPd after structural relaxation at the PBE level of DFT.

CIF file:
```
data_Pr3CuPd
_symmetry_space_group_name_H-M 'P 1'
_symmetry_Int_Tables_number 1
_cell_length_a 8.3413
_cell_length_b 8.3413
_cell_length_c 8.4259
_cell_angle_alpha 94.04
_cell_angle_beta 94.04
_cell_angle_gamma 27.85
loop_
_symmetry_equiv_pos_as_xyz
'x,y,z'
loop_
_atom_site_label
_atom_site_type_symbol
_atom_site_fract_x
_atom_site_fract_y
_atom_site_fract_z
_atom_site_occupancy
Pr1 Pr 0.0000 0.0000 0.0000 1
Pr2 Pr 0.1952 0.1952 0.8629 1
Pr3 Pr 0.3683 0.3683 0.2538 1
Pr4 Pr 0.5375 0.5375 0.6185 1
Pr5 Pr 0.6575 0.6575 0.2443 1
Pr6 Pr 0.8266 0.8266 0.6079 1
Cu1 Cu 0.3810 0.3810 0.8717 1
Cu2 Cu 0.8144 0.8144 0.9891 1
Pd1 Pd 0.0106 0.0106 0.3580 1
Pd2 Pd 0.1843 0.1843 0.5050 1
```

## Properties
formation energy from the elements: -0.32 eV/atom
total magnetic moment: 0.00 Bohr magnetons per cell

Computed, not measured: CdGeOF2 after structural relaxation at the PBE level of DFT.

CIF file:
```
data_CdGeOF2
_symmetry_space_group_name_H-M 'P 1'
_symmetry_Int_Tables_number 1
_cell_length_a 4.4071
_cell_length_b 4.4071
_cell_length_c 3.7849
_cell_angle_alpha 90.00
_cell_angle_beta 90.00
_cell_angle_gamma 90.00
loop_
_symmetry_equiv_pos_as_xyz
'x,y,z'
loop_
_atom_site_label
_atom_site_type_symbol
_atom_site_fract_x
_atom_site_fract_y
_atom_site_fract_z
_atom_site_occupancy
Cd1 Cd 0.0000 0.0000 0.0000 1
Ge1 Ge 0.5000 0.5000 0.5000 1
O1 O 0.5000 0.5000 0.0000 1
F1 F 0.0000 0.5000 0.5000 1
F2 F 0.5000 0.0000 0.5000 1
```

## Properties
total magnetic moment: 0.00 Bohr magnetons per cell
formation energy (no corrections): -1.297 eV per atom
ΔE to the lowest computed polymorph: 0.0 meV/atom